(1)
Material: AcPmMg17
Method: DFT, PBE
State: relaxed

Values from the calculation:
**Crystal system**: trigonal

Cell and atoms, written as POSCAR:
```
AcPmMg17
1.0
5.1814 2.9915 5.1033
-5.1814 2.9915 5.1033
0.0000 -5.9830 5.1033
Ac Pm Mg
1 1 17
Cartesian
0.0000 0.0000 0.0000
0.0000 0.0000 5.1455
0.0000 -2.8541 2.7620
-2.4717 1.4271 2.7620
-2.6271 -1.5167 7.6655
0.0000 -2.9749 7.4101
-2.5764 1.4875 7.4101
-1.5271 -2.6940 10.1996
-3.0966 0.0245 10.1996
2.4717 1.4271 2.7620
0.0000 0.0000 8.6592
1.5271 -2.6940 10.1996
-1.5695 2.6695 10.1996
2.6271 -1.5167 7.6655
0.0000 3.0335 7.6655
0.0000 0.0000 11.6685
2.5764 1.4875 7.4101
3.0966 0.0245 10.1996
1.5695 2.6695 10.1996
```

=====

(2)
Material: AcPmMg
Method: DFT, PBE
State: relaxed

Values from the calculation:
**Crystal system**: trigonal

Cell and atoms, written as POSCAR:
```
AcPmMg
1.0
5.6968 0.0000 0.0000
-2.8484 4.9336 0.0000
0.0000 0.0000 3.6783
Ac Pm Mg
1 1 1
Cartesian
0.0000 0.0000 0.0000
0.0000 3.2890 2.0620
2.8484 1.6445 1.3639
```

=====

(3)
Material: Ac4PmMg
Method: DFT, PBE
State: relaxed

Values from the calculation:
**Crystal system**: cubic

Cell and atoms, written as POSCAR:
```
Ac4PmMg
1.0
0.0000 5.0728 5.0728
5.0728 0.0000 5.0728
5.0728 5.0728 0.0000
Ac Pm Mg
4 1 1
Cartesian
1.2693 1.2693 1.2693
3.8036 3.8036 1.2693
3.8036 1.2693 3.8036
1.2693 3.8036 3.8036
7.6093 7.6093 7.6093
5.0728 5.0728 5.0728
```

=====

(4)
Material: Ac2PmMg
Method: DFT, PBE
State: relaxed

Values from the calculation:
**Crystal system**: tetragonal

Cell and atoms, written as POSCAR:
```
Ac2PmMg
1.0
3.9932 0.0000 0.0000
0.0000 3.9932 0.0000
0.0000 0.0000 9.4191
Ac Pm Mg
2 1 1
Cartesian
0.0000 0.0000 2.1530
0.0000 0.0000 7.2661
1.9966 1.9966 4.7096
1.9966 1.9966 0.0000
```

=====

Number 1: DFT total energy -1.958 eV per atom, E_form -0.065 eV per atom. Number 2: DFT total energy -3.437 eV per atom, E_form 0.048 eV per atom. Number 3: DFT total energy -3.415 eV per atom, E_form 0.381 eV per atom. Number 4: DFT total energy -3.659 eV per atom, E_form -0.018 eV per atom.